No. 1
VASP calculation (PBE) on AlAgSe2 after structural relaxation.

Cell: 3.341 3.341 7.011 Å, 90.00 90.00 90.00°
Positions (direct):
Se: 0.000 0.000 0.973
Se: 0.000 0.000 0.527
Ag: 0.500 0.500 0.250
Al: 0.500 0.500 0.750

Properties
magnetization	0.0	μB per cell
formation energy without anion corrections	0.856	kcal/mol of atoms
DOS at the Fermi energy	1.625	states/eV/cell

No. 2
VASP calculation (PBE) on AlAgSe after structural relaxation.

Cell: 4.506 4.506 4.506 Å, 60.00 60.00 60.00°
Positions (direct):
Se: 0.000 0.000 0.000
Ag: 0.500 0.500 0.500
Al: 0.750 0.750 0.750

Properties
magnetization	0.0	μB per cell
formation energy without anion corrections	0.906	kcal/mol of atoms
DOS at the Fermi energy	0.216	states/eV/cell
relative energy among the computed polymorphs	315	meV/atom

- DOS at the Fermi energy of number 1 (AlAgSe2)?
  1.625 states/eV/cell

- What is the formation energy without anion corrections in the first record?
  0.856 kcal/mol of atoms

- Number 2 is which compound?
  AlAgSe